An optimized crystal structure of Zr2MoAuN. Source: Alexandria, functional GGA-PBE.

CIF file:
```
data_Zr2MoAuN
_space_group_name_H-M_alt 'P 4/m m m'
_space_group_IT_number 123
_space_group_name_Hall '-P 4 2'
_cell_length_a 4.559
_cell_length_b 4.559
_cell_length_c 4.021
_cell_angle_alpha 90.00
_cell_angle_beta 90.00
_cell_angle_gamma 90.00
loop_
_atom_site_label
_atom_site_type_symbol
_atom_site_fract_x
_atom_site_fract_y
_atom_site_fract_z
Zr1 Zr 0.000 0.500 0.000
Mo1 Mo 0.000 0.000 0.500
Au1 Au 0.500 0.500 0.500
N1 N 0.000 0.000 0.000
```

Output
Raw total energy   -8.64 eV/atom

An optimized crystal structure of VInSi. Source: Alexandria, functional GGA-PBE.

CIF file:
```
data_VInSi
_space_group_name_H-M_alt 'I m m m'
_space_group_IT_number 71
_space_group_name_Hall '-I 2 2'
_cell_length_a 2.758
_cell_length_b 4.988
_cell_length_c 16.125
_cell_angle_alpha 90.00
_cell_angle_beta 90.00
_cell_angle_gamma 90.00
loop_
_atom_site_label
_atom_site_type_symbol
_atom_site_fract_x
_atom_site_fract_y
_atom_site_fract_z
V1 V 0.000 0.000 0.180
In1 In 0.000 0.250 0.000
Si1 Si 0.000 0.000 0.330
```

Output
ΔE to the lowest computed polymorph   695 meV per atom
Raw total energy   -5.16 eV/atom